Here is a geometry-optimized Ca3ScSb structure from the Alexandria database. Energies are from GGA-PBE.

Values from the calculation:
* Fermi-level density of states: 2.0 states/eV/cell
* energy above the most stable polymorph in this dataset: 0 meV/atom
* uncorrected energy: -3.26 eV per atom
* ρ: 2.3 g/cm³
* formation energy (no corrections): 33 meV/atom

Lattice parameters (Å, degrees): 5.904 5.904 5.904 90.00 90.00 90.00
Fractional coordinates of all 5 atoms:
Ca 0.500 0.000 0.000
Ca 0.000 0.500 0.000
Sb 0.000 0.000 0.000
Ca 0.000 0.000 0.500
Sc 0.500 0.500 0.500